Material: TbSmSb
Method: DFT, PBE-GGA
State: relaxed

Results
Energy above the most stable polymorph in this dataset: 179 meV per atom
Spin magnetization: 0.007 Bohr magnetons per cell
Calculated total energy: -5.1406 eV/atom

Cell lengths 5.8641, 5.8641, 5.8641 Å; angles 139.39, 139.39, 58.77 degrees
Fractional positions:
Tb: 0.0000 0.0000 0.0000
Sm: 0.6900 0.6900 0.0000
Sb: 0.3489 0.3489 0.0000

=====

Material: MgMo2Pt
Method: DFT, PBE-GGA
State: relaxed

Results
ΔH_f (0 K): -0.092 eV per atom
Spin magnetization: 0.000 Bohr magnetons per cell
Calculated total energy: -7.4161 eV/atom

Cell lengths 3.7346, 3.7346, 4.5603 Å; angles 90.00, 90.00, 90.00 degrees
Fractional positions:
Mg: 0.0000 0.0000 0.0000
Mo: 0.0000 0.5000 0.5000
Mo: 0.5000 0.0000 0.5000
Pt: 0.5000 0.5000 0.0000

=====

Material: AgSnI2N
Method: DFT, PBE-GGA
State: relaxed

Results
Energy above the most stable polymorph in this dataset: 169 meV per atom
Spin magnetization: 1.869 Bohr magnetons per cell
Calculated total energy: -2.9034 eV/atom

Cell lengths 5.9638, 5.9638, 4.0972 Å; angles 90.00, 90.00, 90.00 degrees
Fractional positions:
Ag: 0.0000 0.0000 0.0000
Sn: 0.5000 0.5000 0.5000
I: 0.0000 0.5000 0.0000
I: 0.5000 0.0000 0.0000
N: 0.0000 0.0000 0.5000

=====

Material: IrRu2Pb
Method: DFT, PBE-GGA
State: relaxed

Results
ΔH_f (0 K): 0.674 eV per atom
Spin magnetization: 0.000 Bohr magnetons per cell
Calculated total energy: -7.1058 eV/atom

Cell lengths 2.9214, 4.6632, 4.9807 Å; angles 90.00, 91.69, 90.00 degrees
Fractional positions:
Ir: 0.0000 0.0000 0.0000
Ru: 0.2563 0.5000 0.7827
Ru: 0.7437 0.5000 0.2173
Pb: 0.5000 0.0000 0.5000

=====

Material: PtAu3
Method: DFT, PBE-GGA
State: relaxed

Results
ΔH_f (0 K): 0.034 eV per atom
Spin magnetization: 0.000 Bohr magnetons per cell
Calculated total energy: -3.9338 eV/atom

Cell lengths 2.8594, 2.8594, 9.8549 Å; angles 90.00, 90.00, 120.00 degrees
Fractional positions:
Pt: 0.0000 0.0000 0.0000
Au: 0.0000 0.0000 0.5000
Au: 0.6667 0.3333 0.2449
Au: 0.6667 0.3333 0.7551

=====

Material: PrGaNi
Method: DFT, PBE-GGA
State: relaxed

Results
ΔH_f (0 K): -0.544 eV per atom
Spin magnetization: 0.000 Bohr magnetons per cell
Calculated total energy: -5.0731 eV/atom

Cell lengths 7.3952, 4.5734, 6.9590 Å; angles 90.00, 90.00, 90.00 degrees
Fractional positions:
Pr: 0.0327 0.2500 0.1850
Pr: 0.4673 0.7500 0.6850
Pr: 0.5327 0.2500 0.3150
Pr: 0.9673 0.7500 0.8150
Ga: 0.1815 0.2500 0.6026
Ga: 0.3185 0.7500 0.1026
Ga: 0.6815 0.2500 0.8974
Ga: 0.8185 0.7500 0.3974
Ni: 0.1608 0.7500 0.4217
Ni: 0.3392 0.2500 0.9217
Ni: 0.6608 0.7500 0.0783
Ni: 0.8392 0.2500 0.5783

=====

Material: TcP3
Method: DFT, PBE-GGA
State: relaxed

Results
Energy above the most stable polymorph in this dataset: 792 meV per atom
ΔH_f (0 K): 0.347 eV per atom
Spin magnetization: 0.000 Bohr magnetons per cell
Calculated total energy: -6.3024 eV/atom

Cell lengths 4.1931, 4.1931, 4.1931 Å; angles 117.25, 117.25, 94.83 degrees
Fractional positions:
Tc: 0.0000 0.0000 0.0000
P: 0.2500 0.7500 0.5000
P: 0.5000 0.5000 0.0000
P: 0.7500 0.2500 0.5000

=====

Material: SrMoI2N
Method: DFT, PBE-GGA
State: relaxed

Results
Energy above the most stable polymorph in this dataset: 1238 meV per atom
Spin magnetization: 7.268 Bohr magnetons per cell
Calculated total energy: -3.8378 eV/atom

Cell lengths 6.4277, 6.4277, 4.9779 Å; angles 90.00, 90.00, 90.00 degrees
Fractional positions:
Sr: 0.0000 0.0000 0.0000
Mo: 0.5000 0.5000 0.5000
I: 0.0000 0.5000 0.0000
I: 0.5000 0.0000 0.0000
N: 0.0000 0.0000 0.5000

=====

Material: LiIn4PdRh2
Method: DFT, PBE-GGA
State: relaxed

Results
ΔH_f (0 K): -0.427 eV per atom
Spin magnetization: 0.000 Bohr magnetons per cell
Calculated total energy: -4.5224 eV/atom

Cell lengths 8.0043, 8.0043, 8.0043 Å; angles 33.47, 33.47, 33.47 degrees
Fractional positions:
Li: 0.0000 0.0000 0.0000
In: 0.1254 0.1254 0.1254
In: 0.3746 0.3746 0.3746
In: 0.6254 0.6254 0.6254
In: 0.8746 0.8746 0.8746
Pd: 0.5000 0.5000 0.5000
Rh: 0.2512 0.2512 0.2512
Rh: 0.7488 0.7488 0.7488

=====

Material: CrCo2Ru
Method: DFT, PBE-GGA
State: relaxed

Results
Energy above the most stable polymorph in this dataset: 221 meV per atom
ΔH_f (0 K): 0.273 eV per atom
Spin magnetization: 3.972 Bohr magnetons per cell
Calculated total energy: -8.0049 eV/atom

Cell lengths 2.5353, 2.5353, 8.2050 Å; angles 90.00, 90.00, 111.86 degrees
Fractional positions:
Cr: 0.0000 0.0000 0.0000
Co: 0.0000 0.0000 0.4804
Co: 0.5000 0.5000 0.2428
Ru: 0.5000 0.5000 0.7466

=====

Material: GaRuF2
Method: DFT, PBE-GGA
State: relaxed

Results
Energy above the most stable polymorph in this dataset: 238 meV per atom
Spin magnetization: 2.107 Bohr magnetons per cell
Calculated total energy: -4.7450 eV/atom

Cell lengths 8.0512, 8.0512, 8.0512 Å; angles 19.63, 19.63, 19.63 degrees
Fractional positions:
Ga: 0.0000 0.0000 0.0000
Ru: 0.5000 0.5000 0.5000
F: 0.0861 0.0861 0.0861
F: 0.9139 0.9139 0.9139

=====

Material: SrLiSnBi
Method: DFT, PBE-GGA
State: relaxed

Results
ΔH_f (0 K): -0.407 eV per atom
Spin magnetization: 0.000 Bohr magnetons per cell
Calculated total energy: -3.2765 eV/atom

Cell lengths 5.5080, 5.5080, 5.5080 Å; angles 60.00, 60.00, 60.00 degrees
Fractional positions:
Sr: 0.0000 0.0000 0.0000
Li: 0.5000 0.5000 0.5000
Sn: 0.2500 0.2500 0.2500
Bi: 0.7500 0.7500 0.7500